DFT (PBE-GGA) results for a geometry-optimized Nd2Ir5C4 structure.

abc: 5.4385 10.4576 10.8867
angles: 90.00 90.00 90.00
Space group Fmmm (No. 69)
One atom of each set of equivalent atoms:
Nd 0.0000 0.0000 0.1562 (multiplicity 8)
Ir 0.0000 0.0000 0.5000 (multiplicity 4)
Ir 0.2500 0.2500 0.0000 (multiplicity 8)
Ir 0.2500 0.2500 0.2500 (multiplicity 8)
C 0.0000 0.1530 0.3701 (multiplicity 16)

Mass density: 13.920 g/cm3
Total energy: -8.0409 eV/atom
Volume: 155 Å³/f.u.